Record 1
# SCAN Ba2NaNi3O6, single point on PBEsol structure
# - M_tot: 8.13 μB per cell
# - Crystal system: orthorhombic
# - E_form (uncorrected): -1.90 eV per atom
data_Ba2NaNi3O6
_cell_length_a 8.234
_cell_length_b 11.074
_cell_length_c 14.408
_cell_angle_alpha 90.00
_cell_angle_beta 90.00
_cell_angle_gamma 90.00
_symmetry_space_group_name_H-M 'F m m m'
_symmetry_Int_Tables_number 69
_symmetry_space_group_name_Hall '-F 2 2'
loop_
_atom_site_label
_atom_site_type_symbol
_atom_site_fract_x
_atom_site_fract_y
_atom_site_fract_z
Ba1 Ba 0.000 0.229 0.000
Ba2 Ba 0.250 0.250 0.250
Na1 Na 0.000 0.000 0.331
Ni1 Ni 0.149 0.000 0.143
Ni2 Ni 0.197 0.000 0.500
O1 O 0.000 0.113 0.186
O2 O 0.209 0.112 0.406

Record 2
# SCAN BaNa6O4, single point on PBEsol structure
# - M_tot: 0.02 μB per cell
# - Crystal system: cubic
# - Relative energy among the computed polymorphs: 17 kJ/mol of formula units
# - E_form (uncorrected): -1.57 eV per atom
data_BaNa6O4
_cell_length_a 11.392
_cell_length_b 11.392
_cell_length_c 11.392
_cell_angle_alpha 90.00
_cell_angle_beta 90.00
_cell_angle_gamma 90.00
_symmetry_space_group_name_H-M 'I -4 3 m'
_symmetry_Int_Tables_number 217
_symmetry_space_group_name_Hall 'I -4 2 3'
loop_
_atom_site_label
_atom_site_type_symbol
_atom_site_fract_x
_atom_site_fract_y
_atom_site_fract_z
Ba1 Ba 0.126 0.126 0.126
Na1 Na 0.096 0.377 0.623
Na2 Na 0.127 0.127 0.655
O1 O 0.000 0.000 0.000
O2 O 0.000 0.000 0.500
O3 O 0.016 0.260 0.260

Record 3
# SCAN Ba2Na2O3, single point on PBEsol structure
# - M_tot: 0.00 μB per cell
# - Crystal system: tetragonal
# - Relative energy among the computed polymorphs: 4 kJ/mol of formula units
# - E_form (uncorrected): -2.05 eV per atom
data_Ba2Na2O3
_cell_length_a 7.004
_cell_length_b 7.004
_cell_length_c 10.893
_cell_angle_alpha 90.00
_cell_angle_beta 90.00
_cell_angle_gamma 90.00
_symmetry_space_group_name_H-M 'P 43 21 2'
_symmetry_Int_Tables_number 96
_symmetry_space_group_name_Hall 'P 4nw 2abw'
loop_
_atom_site_label
_atom_site_type_symbol
_atom_site_fract_x
_atom_site_fract_y
_atom_site_fract_z
Ba1 Ba 0.031 0.225 0.355
Na1 Na 0.039 0.263 0.900
O1 O 0.020 0.263 0.122
O2 O 0.184 0.816 0.250

Record 4
# SCAN Ba2Na2O3, single point on PBEsol structure
# - M_tot: 0.00 μB per cell
# - Crystal system: monoclinic
# - Relative energy among the computed polymorphs: 0 kJ/mol of formula units
# - E_form (uncorrected): -2.06 eV per atom
data_Ba2Na2O3
_cell_length_a 8.415
_cell_length_b 5.448
_cell_length_c 5.914
_cell_angle_alpha 90.00
_cell_angle_beta 105.89
_cell_angle_gamma 90.00
_symmetry_space_group_name_H-M 'P 1 21/c 1'
_symmetry_Int_Tables_number 14
_symmetry_space_group_name_Hall '-P 2ybc'
loop_
_atom_site_label
_atom_site_type_symbol
_atom_site_fract_x
_atom_site_fract_y
_atom_site_fract_z
Ba1 Ba 0.168 0.033 0.296
Na1 Na 0.425 0.632 0.309
O1 O 0.167 0.524 0.354
O2 O 0.500 0.000 0.500

Record 5
# SCAN BaNa6O4, single point on PBEsol structure
# - M_tot: 0.00 μB per cell
# - Crystal system: tetragonal
# - Relative energy among the computed polymorphs: 0 kJ/mol of formula units
# - E_form (uncorrected): -1.58 eV per atom
data_BaNa6O4
_cell_length_a 8.049
_cell_length_b 8.049
_cell_length_c 5.642
_cell_angle_alpha 90.00
_cell_angle_beta 90.00
_cell_angle_gamma 90.00
_symmetry_space_group_name_H-M 'P 42/n m c'
_symmetry_Int_Tables_number 137
loop_
_symmetry_equiv_pos_as_xyz
'x,y,z'
'-x,-y,-z'
'-y+1/2,x,z+1/2'
'y+1/2,-x,-z+1/2'
'-x+1/2,-y+1/2,z'
'x+1/2,y+1/2,-z'
'y,-x+1/2,z+1/2'
'-y,x+1/2,-z+1/2'
'x+1/2,-y,-z'
'-x+1/2,y,z'
'-y,-x,-z+1/2'
'y,x,z+1/2'
'-x,y+1/2,-z'
'x,-y+1/2,z'
'y+1/2,x+1/2,-z+1/2'
'-y+1/2,-x+1/2,z+1/2'
loop_
_atom_site_label
_atom_site_type_symbol
_atom_site_fract_x
_atom_site_fract_y
_atom_site_fract_z
Ba1 Ba 0.250 0.750 0.250
Na1 Na 0.037 0.537 0.750
Na2 Na 0.250 0.250 0.229
O1 O 0.019 0.250 0.982

Record 6
# SCAN Ba3NaOs2O9, single point on PBEsol structure
# - M_tot: 5.96 μB per cell
# - Crystal system: hexagonal
# - E_form (uncorrected): -2.11 eV per atom
data_Ba3NaOs2O9
_cell_length_a 5.8829
_cell_length_b 5.8829
_cell_length_c 14.2912
_cell_angle_alpha 90.00
_cell_angle_beta 90.00
_cell_angle_gamma 120.00
_symmetry_space_group_name_H-M 'P 63/m m c'
_symmetry_Int_Tables_number 194
_symmetry_space_group_name_Hall '-P 6c 2c'
loop_
_atom_site_label
_atom_site_type_symbol
_atom_site_fract_x
_atom_site_fract_y
_atom_site_fract_z
Ba1 Ba 0.0000 0.0000 0.2500
Ba2 Ba 0.3333 0.6667 0.0888
Na1 Na 0.0000 0.0000 0.0000
Os1 Os 0.3333 0.6667 0.6622
O1 O 0.0138 0.5069 0.7500
O2 O 0.1789 0.3579 0.5908

Record 7
# SCAN BaNa2OsO, single point on PBEsol structure
# - M_tot: 0.00 μB per cell
# - Crystal system: tetragonal
# - E_form (uncorrected): 0.06 eV per atom
data_BaNa2OsO
_cell_length_a 5.245
_cell_length_b 5.245
_cell_length_c 3.841
_cell_angle_alpha 90.00
_cell_angle_beta 90.00
_cell_angle_gamma 90.00
_symmetry_space_group_name_H-M 'P 4/m m m'
_symmetry_Int_Tables_number 123
_symmetry_space_group_name_Hall '-P 4 2'
loop_
_atom_site_label
_atom_site_type_symbol
_atom_site_fract_x
_atom_site_fract_y
_atom_site_fract_z
Ba1 Ba 0.000 0.000 0.000
Na1 Na 0.000 0.500 0.500
Os1 Os 0.500 0.500 0.000
O1 O 0.500 0.500 0.500

Record 8
# SCAN BaNa3P2O8, single point on PBEsol structure
# - M_tot: 1.07 μB per cell
# - Crystal system: trigonal
# - E_form (uncorrected): -2.53 eV per atom
data_BaNa3P2O8
_cell_length_a 5.5316
_cell_length_b 5.5316
_cell_length_c 7.0927
_cell_angle_alpha 90.00
_cell_angle_beta 90.00
_cell_angle_gamma 120.00
_symmetry_space_group_name_H-M 'P -3 m 1'
_symmetry_Int_Tables_number 164
_symmetry_space_group_name_Hall '-P 3 2"'
loop_
_atom_site_label
_atom_site_type_symbol
_atom_site_fract_x
_atom_site_fract_y
_atom_site_fract_z
Ba1 Ba 0.0000 0.0000 0.0000
Na1 Na 0.0000 0.0000 0.5000
Na2 Na 0.3333 0.6667 0.6730
P1 P 0.3333 0.6667 0.2199
O1 O 0.1823 0.3647 0.2970
O2 O 0.3333 0.6667 0.0021

Record 9
# SCAN Ba2NaPdO, single point on PBEsol structure
# - M_tot: 0.00 μB per cell
# - Crystal system: tetragonal
# - E_form (uncorrected): -0.39 eV per atom
data_Ba2NaPdO
_cell_length_a 5.899
_cell_length_b 5.899
_cell_length_c 3.931
_cell_angle_alpha 90.00
_cell_angle_beta 90.00
_cell_angle_gamma 90.00
_symmetry_space_group_name_H-M 'P 4/m m m'
_symmetry_Int_Tables_number 123
_symmetry_space_group_name_Hall '-P 4 2'
loop_
_atom_site_label
_atom_site_type_symbol
_atom_site_fract_x
_atom_site_fract_y
_atom_site_fract_z
Ba1 Ba 0.000 0.500 0.000
Na1 Na 0.000 0.000 0.000
Pd1 Pd 0.500 0.500 0.500
O1 O 0.000 0.000 0.500

Record 10
# SCAN Ba3NaRu2O9, single point on PBEsol structure
# - M_tot: 16.05 μB per cell
# - Crystal system: orthorhombic
# - Relative energy among the computed polymorphs: 16 kJ/mol of formula units
# - E_form (uncorrected): -2.10 eV per atom
data_Ba3NaRu2O9
_cell_length_a 14.324
_cell_length_b 5.850
_cell_length_c 10.120
_cell_angle_alpha 90.00
_cell_angle_beta 90.00
_cell_angle_gamma 90.00
_symmetry_space_group_name_H-M 'P m m a'
_symmetry_Int_Tables_number 51
_symmetry_space_group_name_Hall '-P 2a 2a'
loop_
_atom_site_label
_atom_site_type_symbol
_atom_site_fract_x
_atom_site_fract_y
_atom_site_fract_z
Ba1 Ba 0.086 0.000 0.163
Ba2 Ba 0.094 0.500 0.673
Ba3 Ba 0.250 0.000 0.500
Ba4 Ba 0.250 0.500 0.003
Na1 Na 0.000 0.000 0.500
Na2 Na 0.000 0.500 0.000
Ru1 Ru 0.154 0.500 0.335
Ru2 Ru 0.163 0.000 0.835
O1 O 0.088 0.500 0.179
O2 O 0.090 0.265 0.412
O3 O 0.092 0.000 0.681
O4 O 0.092 0.231 0.912
O5 O 0.250 0.000 0.994
O6 O 0.250 0.239 0.755
O7 O 0.250 0.279 0.260
O8 O 0.250 0.500 0.484

Record 11
# SCAN Ba3NaRu2O9, single point on PBEsol structure
# - M_tot: 10.00 μB per cell
# - Crystal system: hexagonal
# - Relative energy among the computed polymorphs: 0 kJ/mol of formula units
# - E_form (uncorrected): -2.12 eV per atom
data_Ba3NaRu2O9
_cell_length_a 5.8409
_cell_length_b 5.8409
_cell_length_c 14.4626
_cell_angle_alpha 90.00
_cell_angle_beta 90.00
_cell_angle_gamma 120.00
_symmetry_space_group_name_H-M 'P 63/m m c'
_symmetry_Int_Tables_number 194
_symmetry_space_group_name_Hall '-P 6c 2c'
loop_
_atom_site_label
_atom_site_type_symbol
_atom_site_fract_x
_atom_site_fract_y
_atom_site_fract_z
Ba1 Ba 0.0000 0.0000 0.2500
Ba2 Ba 0.3333 0.6667 0.0914
Na1 Na 0.0000 0.0000 0.0000
Ru1 Ru 0.3333 0.6667 0.6556
O1 O 0.0330 0.5165 0.7500
O2 O 0.1770 0.3540 0.5901

Record 12
# SCAN Ba4NaRu3O12, single point on PBEsol structure
# - M_tot: 6.00 μB per cell
# - Crystal system: hexagonal
# - E_form (uncorrected): -2.13 eV per atom
data_Ba4NaRu3O12
_cell_length_a 5.7671
_cell_length_b 5.7671
_cell_length_c 19.0345
_cell_angle_alpha 90.00
_cell_angle_beta 90.00
_cell_angle_gamma 120.00
_symmetry_space_group_name_H-M 'P 63 m c'
_symmetry_Int_Tables_number 186
_symmetry_space_group_name_Hall 'P 6c -2c'
loop_
_atom_site_label
_atom_site_type_symbol
_atom_site_fract_x
_atom_site_fract_y
_atom_site_fract_z
Ba1 Ba 0.0000 0.0000 0.0000
Ba2 Ba 0.3333 0.6667 0.1178
Ba3 Ba 0.3333 0.6667 0.3715
Ba4 Ba 0.3333 0.6667 0.7435
Na1 Na 0.3333 0.6667 0.5572
Ru1 Ru 0.0000 0.0000 0.1828
Ru2 Ru 0.0000 0.0000 0.3167
Ru3 Ru 0.3333 0.6667 0.9320
O1 O 0.0267 0.5134 0.9880
O2 O 0.1547 0.3093 0.2523
O3 O 0.1558 0.3115 0.6286
O4 O 0.1659 0.3317 0.8717